A relaxed Cs3CuCl4 crystal, computed with PBE.

Its density of states at the Fermi level is 0.000 states/eV per cell. As for the energy relative to the elements, uncorrected: -1.553 eV/atom. For the polymorph energy (0 for the lowest one), the calculation gives 0 meV per atom.

The structure belongs to space group Pmn2_1 (No. 31); the cell edges are 13.240, 10.570 and 4.992 Å and the angles 90.00°, 90.00° and 90.00°. The distinct sites, in fractional coordinates, are Cs at (0.000, 0.117, 0.000), Cs at (0.166, 0.665, 0.579), Cu at (0.000, 0.385, 0.423), Cl at (0.000, 0.539, 0.109), Cl at (0.000, 0.903, 0.509) and Cl at (0.150, 0.307, 0.561).